No. 1
Computed, not measured: an optimized crystal structure of Nd2Al2Ge at the PBE level of DFT.

Properties
Raw total energy = -48.8 eV for the cell shown
V = 240.7 Å³/cell

Cell lengths 4.240, 4.095, 13.865 Å; angles 90.00, 90.00, 90.00 degrees
Atoms (fractional coordinates):
1 Nd 0.000 0.000 0.000
2 Nd 0.000 0.000 0.253
3 Nd 0.000 0.500 0.500
4 Nd 0.000 0.500 0.753
5 Al 0.500 0.000 0.629
6 Al 0.500 0.000 0.825
7 Al 0.500 0.500 0.129
8 Al 0.500 0.500 0.325
9 Ge 0.500 0.000 0.432
10 Ge 0.500 0.500 0.932

---

No. 2
Computed, not measured: an optimized crystal structure of NdAlGe2 at the PBE level of DFT.

Properties
Raw total energy = -39.0 eV for the cell shown
V = 173.8 Å³/cell

Cell lengths 4.126, 4.126, 10.207 Å; angles 90.00, 90.00, 90.00 degrees
Atoms (fractional coordinates):
1 Nd 0.000 0.000 0.000
2 Nd 0.000 0.000 0.500
3 Al 0.000 0.500 0.266
4 Al 0.500 0.000 0.766
5 Ge 0.000 0.500 0.766
6 Ge 0.500 0.000 0.266
7 Ge 0.500 0.500 0.089
8 Ge 0.500 0.500 0.589

---

No. 3
Computed, not measured: an optimized crystal structure of Nd2Al3Ge2 at the PBE level of DFT.

Properties
Raw total energy = -32.7 eV for the cell shown
V = 163.8 Å³/cell

Cell lengths 4.295, 4.025, 9.714 Å; angles 90.00, 102.70, 90.00 degrees
Atoms (fractional coordinates):
1 Nd 0.140 0.000 0.279
2 Nd 0.860 0.000 0.721
3 Al 0.000 0.500 0.000
4 Al 0.285 0.500 0.570
5 Al 0.715 0.500 0.430
6 Ge 0.416 0.500 0.833
7 Ge 0.584 0.500 0.167

---

No. 4
Computed, not measured: an optimized crystal structure of Nd2AlGe at the PBE level of DFT.

Properties
Raw total energy = -41.1 eV for the cell shown
V = 211.6 Å³/cell

Cell lengths 6.104, 4.118, 8.855 Å; angles 90.00, 108.07, 90.00 degrees
Atoms (fractional coordinates):
1 Nd 0.207 0.250 0.427
2 Nd 0.283 0.750 0.069
3 Nd 0.717 0.250 0.931
4 Nd 0.793 0.750 0.573
5 Al 0.358 0.750 0.716
6 Al 0.642 0.250 0.284
7 Ge 0.143 0.250 0.789
8 Ge 0.857 0.750 0.211

---

No. 5
Computed, not measured: an optimized crystal structure of NdAl2Ni4Ge at the PBE level of DFT.

Properties
Raw total energy = -43.7 eV for the cell shown
V = 122.2 Å³/cell

Cell lengths 8.845, 8.845, 8.845 Å; angles 26.59, 26.59, 26.59 degrees
Atoms (fractional coordinates):
1 Nd 0.000 0.000 0.000
2 Al 0.240 0.240 0.240
3 Al 0.760 0.760 0.760
4 Ni 0.136 0.136 0.136
5 Ni 0.409 0.409 0.409
6 Ni 0.591 0.591 0.591
7 Ni 0.864 0.864 0.864
8 Ge 0.500 0.500 0.500

---

No. 6
Computed, not measured: an optimized crystal structure of NdAlGe2O7 at the PBE level of DFT.

Properties
Raw formation energy = -2416 meV/atom
Raw total energy = -316.1 eV for the cell shown
V = 551.2 Å³/cell

Cell lengths 7.324, 6.596, 12.886 Å; angles 90.00, 117.69, 90.00 degrees
Atoms (fractional coordinates):
1 Nd 0.238 0.148 0.473
2 Nd 0.238 0.352 0.973
3 Nd 0.762 0.648 0.027
4 Nd 0.762 0.852 0.527
5 Al 0.213 0.101 0.729
6 Al 0.213 0.399 0.229
7 Al 0.787 0.601 0.771
8 Al 0.787 0.899 0.271
9 Ge 0.210 0.658 0.450
10 Ge 0.210 0.842 0.950
11 Ge 0.303 0.589 0.719
12 Ge 0.303 0.911 0.219
13 Ge 0.697 0.089 0.781
14 Ge 0.697 0.411 0.281
15 Ge 0.790 0.158 0.050
16 Ge 0.790 0.342 0.550
17 O 0.006 0.659 0.915
18 O 0.006 0.841 0.415
19 O 0.160 0.683 0.187
20 O 0.160 0.817 0.687
21 O 0.205 0.052 0.865
22 O 0.205 0.448 0.365
23 O 0.224 0.117 0.277
24 O 0.224 0.383 0.777
25 O 0.249 0.501 0.573
26 O 0.249 0.999 0.073
27 O 0.407 0.674 0.976
28 O 0.407 0.826 0.476
29 O 0.427 0.120 0.697
30 O 0.427 0.380 0.197
31 O 0.573 0.620 0.803
32 O 0.573 0.880 0.303
33 O 0.593 0.174 0.524
34 O 0.593 0.326 0.024
35 O 0.751 0.001 0.927
36 O 0.751 0.499 0.427
37 O 0.776 0.617 0.223
38 O 0.776 0.883 0.723
39 O 0.795 0.552 0.635
40 O 0.795 0.948 0.135
41 O 0.840 0.183 0.313
42 O 0.840 0.317 0.813
43 O 0.994 0.159 0.585
44 O 0.994 0.341 0.085

---

No. 7
Computed, not measured: an optimized crystal structure of NdAl2GeOs2 at the PBE level of DFT.

Properties
Raw total energy = -39.4 eV for the cell shown
V = 119.9 Å³/cell

Cell lengths 4.568, 4.568, 5.745 Å; angles 90.00, 90.00, 90.00 degrees
Atoms (fractional coordinates):
1 Nd 0.000 0.000 0.000
2 Al 0.500 0.500 0.241
3 Al 0.500 0.500 0.759
4 Ge 0.000 0.000 0.500
5 Os 0.000 0.500 0.500
6 Os 0.500 0.000 0.500

---

No. 8
Computed, not measured: an optimized crystal structure of Nd2Al4GePd3 at the PBE level of DFT.

Properties
Raw total energy = -52.5 eV for the cell shown
V = 195.7 Å³/cell

Cell lengths 4.368, 4.368, 10.256 Å; angles 90.00, 90.00, 90.00 degrees
Atoms (fractional coordinates):
1 Nd 0.000 0.500 0.249
2 Nd 0.500 0.000 0.751
3 Al 0.000 0.000 0.500
4 Al 0.000 0.500 0.863
5 Al 0.500 0.000 0.137
6 Al 0.500 0.500 0.500
7 Ge 0.500 0.500 0.000
8 Pd 0.000 0.000 0.000
9 Pd 0.000 0.500 0.625
10 Pd 0.500 0.000 0.375